Record 1
Compound: VB3Au
Source: the Alexandria database
Functional: PBE-GGA
Structure: optimized geometry

Summary:
Crystal system: cubic
Relative energy among the computed polymorphs, eV/f.u.: 2.34
Formation enthalpy at 0 K, eV/atom: 1.9226
V, Å³/cell: 70.8

abc: 4.1375 4.1375 4.1375
angles: 90.00 90.00 90.00
Space group Pm-3m (No. 221)
Unique sites:
V  0.0000  0.0000  0.0000 x1
B  0.0000  0.5000  0.5000 x3
Au  0.5000  0.5000  0.5000 x1

Record 2
Compound: EuHoAgSb
Source: the Alexandria database
Functional: PBE-GGA
Structure: optimized geometry

Summary:
Crystal system: cubic
V, Å³/cell: 425.6
Energy relative to the elements, uncorrected, kJ/mol of atoms: -55.71

abc: 7.5218 7.5218 7.5218
angles: 90.00 90.00 90.00
Space group F-43m (No. 216)
Unique sites:
Eu  0.0000  0.0000  0.0000 x4
Ho  0.0000  0.0000  0.5000 x4
Ag  0.2500  0.2500  0.7500 x4
Sb  0.2500  0.2500  0.2500 x4

Record 3
Compound: LiCr2CuMo
Source: the Alexandria database
Functional: PBE-GGA
Structure: optimized geometry

Summary:
Crystal system: tetragonal
Formation enthalpy at 0 K, eV/atom: 1.4402
V, Å³/cell: 64.8

abc: 3.9418 3.9418 4.1727
angles: 90.00 90.00 90.00
Space group P4/mmm (No. 123)
Unique sites:
Li  0.0000  0.0000  0.0000 x1
Cr  0.0000  0.5000  0.0000 x2
Cu  0.5000  0.5000  0.5000 x1
Mo  0.0000  0.0000  0.5000 x1

Record 4
Compound: TiPtSCl2
Source: the Alexandria database
Functional: PBE-GGA
Structure: optimized geometry

Summary:
Crystal system: tetragonal
Relative energy among the computed polymorphs, eV/f.u.: 0.00
V, Å³/cell: 104.4
Energy relative to the elements, uncorrected, kJ/mol of atoms: -10.83

abc: 4.6106 4.6106 4.9126
angles: 90.00 90.00 90.00
Space group P4/mmm (No. 123)
Unique sites:
Ti  0.0000  0.0000  0.0000 x1
Pt  0.5000  0.5000  0.5000 x1
S  0.0000  0.0000  0.5000 x1
Cl  0.0000  0.5000  0.0000 x2

Record 5
Compound: Nd2TmPu
Source: the Alexandria database
Functional: PBE-GGA
Structure: optimized geometry

Summary:
Crystal system: trigonal
Relative energy among the computed polymorphs, eV/f.u.: 0.59
Formation enthalpy at 0 K, eV/atom: 0.2630
V, Å³/cell: 393.2

abc: 3.4935 3.4935 37.2002
angles: 90.00 90.00 120.00
Space group R-3m (No. 166, hexagonal axes)
Unique sites:
Nd  0.0000  0.0000  0.0887 x6
Tm  0.0000  0.0000  0.5000 x3
Pu  0.0000  0.0000  0.0000 x3

Record 6
Compound: CsCuSiGe2
Source: the Alexandria database
Functional: PBE-GGA
Structure: optimized geometry

Summary:
Crystal system: tetragonal
V, Å³/cell: 172.0
Energy relative to the elements, uncorrected, kJ/mol of atoms: 198.37

abc: 5.7850 5.7850 5.1390
angles: 90.00 90.00 90.00
Space group P4/mmm (No. 123)
Unique sites:
Cs  0.0000  0.0000  0.0000 x1
Cu  0.0000  0.0000  0.5000 x1
Si  0.5000  0.5000  0.5000 x1
Ge  0.0000  0.5000  0.0000 x2

Record 7
Compound: KInI2N
Source: the Alexandria database
Functional: PBE-GGA
Structure: optimized geometry

Summary:
Crystal system: tetragonal
Relative energy among the computed polymorphs, eV/f.u.: 0.00
V, Å³/cell: 163.5
Energy relative to the elements, uncorrected, kJ/mol of atoms: -9.38

abc: 6.2745 6.2745 4.1538
angles: 90.00 90.00 90.00
Space group P4/mmm (No. 123)
Unique sites:
K  0.0000  0.0000  0.0000 x1
In  0.5000  0.5000  0.5000 x1
I  0.0000  0.5000  0.5000 x2
N  0.5000  0.5000  0.0000 x1

Record 8
Compound: LaEr2Sn2Hg2
Source: the Alexandria database
Functional: PBE-GGA
Structure: optimized geometry

Summary:
Crystal system: trigonal
Formation enthalpy at 0 K, eV/atom: -0.3681
V, Å³/cell: 584.3

abc: 5.0216 5.0216 26.7554
angles: 90.00 90.00 120.00
Space group R-3m (No. 166, hexagonal axes)
Unique sites:
La  0.0000  0.0000  0.0000 x3
Er  0.0000  0.0000  0.1324 x6
Sn  0.0000  0.0000  0.2652 x6
Hg  0.0000  0.0000  0.4356 x6

Record 9
Compound: ZnAgBi2H
Source: the Alexandria database
Functional: PBE-GGA
Structure: optimized geometry

Summary:
Crystal system: tetragonal
V, Å³/cell: 106.8
Total DFT energy (no corrections), eV for the cell shown: -14.09

abc: 5.6489 5.6489 3.3469
angles: 90.00 90.00 90.00
Space group P4/mmm (No. 123)
Unique sites:
Zn  0.0000  0.0000  0.0000 x1
Ag  0.5000  0.5000  0.5000 x1
Bi  0.0000  0.5000  0.0000 x2
H  0.0000  0.0000  0.5000 x1

Record 10
Compound: LaNd2Cu2
Source: the Alexandria database
Functional: PBE-GGA
Structure: optimized geometry

Summary:
Crystal system: monoclinic
Relative energy among the computed polymorphs, eV/f.u.: 0.05
Formation enthalpy at 0 K, eV/atom: -0.0719
V, Å³/cell: 271.6

abc: 5.0755 4.7711 11.3218
angles: 90.00 97.77 90.00
Space group P2_1/m (No. 11)
Unique sites:
La  0.1910  0.2500  0.2441 x2
Nd  0.2470  0.7500  0.4897 x2
Nd  0.3511  0.2500  0.8837 x2
Cu  0.1112  0.7500  0.0013 x2
Cu  0.2898  0.2500  0.6366 x2

Record 11
Compound: BaLi2In4Rh
Source: the Alexandria database
Functional: PBE-GGA
Structure: optimized geometry

Summary:
Crystal system: trigonal
Formation enthalpy at 0 K, eV/atom: -0.3723
V, Å³/cell: 583.3

abc: 4.6280 4.6280 31.4460
angles: 90.00 90.00 120.00
Space group R-3m (No. 166, hexagonal axes)
Unique sites:
Ba  0.0000  0.0000  0.0000 x3
Li  0.0000  0.0000  0.2227 x6
In  0.0000  0.0000  0.1334 x6
In  0.0000  0.0000  0.4103 x6
Rh  0.0000  0.0000  0.5000 x3

Record 12
Compound: CaTlCu2F8
Source: the Alexandria database
Functional: PBE-GGA
Structure: optimized geometry

Summary:
Crystal system: tetragonal
V, Å³/cell: 325.3
Energy relative to the elements, uncorrected, kJ/mol of atoms: -207.39

abc: 5.4793 5.4793 10.8345
angles: 90.00 90.00 90.00
Space group I-4 (No. 82)
Unique sites:
Ca  0.0000  0.0000  0.0000 x2
Tl  0.0000  0.5000  0.2500 x2
Cu  0.0000  0.0000  0.5000 x2
Cu  0.0000  0.5000  0.7500 x2
F  0.1599  0.2914  0.4268 x8
F  0.1675  0.7894  0.8208 x8

Record 13
Compound: Sc6PdRh
Source: the Alexandria database
Functional: PBE-GGA
Structure: optimized geometry

Summary:
Crystal system: monoclinic
Formation enthalpy at 0 K, eV/atom: -0.2796
V, Å³/cell: 371.7

abc: 6.2365 10.2613 6.2365
angles: 90.00 111.37 90.00
Space group C2/m (No. 12)
Unique sites:
Sc  0.2434  0.1895  0.2460 x8
Sc  0.2472  0.0000  0.7559 x4
Pd  0.0000  0.5000  0.5000 x2
Rh  0.0000  0.0000  0.0000 x2

Record 14
Compound: CePr2Au
Source: the Alexandria database
Functional: PBE-GGA
Structure: optimized geometry

Summary:
Crystal system: trigonal
Relative energy among the computed polymorphs, eV/f.u.: 0.59
Formation enthalpy at 0 K, eV/atom: -0.1607
V, Å³/cell: 380.5

abc: 3.7591 3.7591 31.0919
angles: 90.00 90.00 120.00
Space group R3m (No. 160, hexagonal axes)
Unique sites:
Ce  0.0000  0.0000  0.0000 x3
Pr  0.0000  0.0000  0.5725 x3
Pr  0.0000  0.0000  0.7624 x3
Au  0.0000  0.0000  0.1674 x3

Record 15
Compound: MgVHg2H
Source: the Alexandria database
Functional: PBE-GGA
Structure: optimized geometry

Summary:
Crystal system: tetragonal
V, Å³/cell: 82.8
Total DFT energy (no corrections), eV for the cell shown: -13.59

abc: 4.8884 4.8884 3.4630
angles: 90.00 90.00 90.00
Space group P4/mmm (No. 123)
Unique sites:
Mg  0.0000  0.0000  0.0000 x1
V  0.5000  0.5000  0.0000 x1
Hg  0.0000  0.5000  0.5000 x2
H  0.5000  0.5000  0.5000 x1

Record 16
Compound: Na3Cd2In4
Source: the Alexandria database
Functional: PBE-GGA
Structure: optimized geometry

Summary:
Crystal system: monoclinic
Relative energy among the computed polymorphs, eV/f.u.: 0.45
Formation enthalpy at 0 K, eV/atom: -0.0722
V, Å³/cell: 459.7

abc: 8.8039 5.4208 9.6764
angles: 90.00 95.52 90.00
Space group C2/m (No. 12)
Unique sites:
Na  0.0000  0.0000  0.0000 x2
Na  0.1660  0.5000  0.4443 x4
Cd  0.1653  0.5000  0.7807 x4
In  0.0012  0.0000  0.3324 x4
In  0.1689  0.5000  0.1126 x4

Record 17
Compound: SrTiNbI2
Source: the Alexandria database
Functional: PBE-GGA
Structure: optimized geometry

Summary:
Crystal system: tetragonal
V, Å³/cell: 150.6
Energy relative to the elements, uncorrected, kJ/mol of atoms: 27.16

abc: 5.6039 5.6039 4.7971
angles: 90.00 90.00 90.00
Space group P4/mmm (No. 123)
Unique sites:
Sr  0.0000  0.0000  0.0000 x1
Ti  0.5000  0.5000  0.5000 x1
Nb  0.5000  0.5000  0.0000 x1
I  0.0000  0.5000  0.5000 x2

Record 18
Compound: PrLuAg
Source: the Alexandria database
Functional: PBE-GGA
Structure: optimized geometry

Summary:
Crystal system: tetragonal
Relative energy among the computed polymorphs, eV/f.u.: 0.00
Formation enthalpy at 0 K, eV/atom: -0.1721
V, Å³/cell: 166.5

abc: 3.6132 3.6132 12.7531
angles: 90.00 90.00 90.00
Space group I4mm (No. 107)
Unique sites:
Pr  0.0000  0.0000  0.0000 x2
Lu  0.0000  0.0000  0.2974 x2
Ag  0.0000  0.0000  0.6714 x2

Record 19
Compound: Sc2PaB6
Source: the Alexandria database
Functional: PBE-GGA
Structure: optimized geometry

Summary:
Crystal system: hexagonal
Relative energy among the computed polymorphs, eV/f.u.: 0.00
Formation enthalpy at 0 K, eV/atom: -0.6749
V, Å³/cell: 99.2

abc: 5.5170 5.5170 3.7622
angles: 90.00 90.00 120.00
Space group P6/mmm (No. 191)
Unique sites:
Sc  0.3333  0.6667  0.0000 x2
Pa  0.0000  0.0000  0.0000 x1
B  0.0000  0.3366  0.5000 x6

Record 20
Compound: Na3Tb3TeS8
Source: the Alexandria database
Functional: PBE-GGA
Structure: optimized geometry

Summary:
Crystal system: trigonal
V, Å³/cell: 1110.0
Energy relative to the elements, uncorrected, kJ/mol of atoms: -141.21

abc: 7.9706 7.9706 20.1750
angles: 90.00 90.00 120.00
Space group R-3m (No. 166, hexagonal axes)
Unique sites:
Na  0.0000  0.5000  0.0000 x9
Tb  0.0000  0.5000  0.5000 x9
Te  0.0000  0.0000  0.5000 x3
S  0.0000  0.0000  0.2420 x6
S  0.0099  0.5050  0.2406 x18